Mn2SiPb, relaxed, DFT PBE; uncorrected formation energy = 0.733 eV/atom; spin magnetization = 5.3 μB per cell
1.0
0.0000 3.2263 3.2263
3.2263 0.0000 3.2263
3.2263 3.2263 0.0000
Mn Si Pb
2 1 1
Direct
0.0000 0.0000 0.0000
0.2500 0.2500 0.2500
0.7500 0.7500 0.7500
0.5000 0.5000 0.5000



Pr3Er2In3, relaxed, DFT PBE; formation enthalpy at 0 K = -348 meV per atom; spin magnetization = 0.0 μB per cell
1.0
-2.1965 2.5624 10.6098
2.1965 -2.5624 10.6098
2.1965 2.5624 -10.6098
Pr Er In
3 2 3
Direct
0.0000 0.0000 0.0000
0.3787 0.8787 0.5000
0.6213 0.1213 0.5000
0.2373 0.2373 0.0000
0.7627 0.7627 0.0000
0.1299 0.6299 0.5000
0.5000 0.5000 0.0000
0.8701 0.3701 0.5000



K2TaCd, relaxed, DFT PBE; formation enthalpy at 0 K = 1013 meV per atom; spin magnetization = 1.2 μB per cell
1.0
2.9271 0.0000 0.0000
0.0000 6.3189 0.0000
-0.3047 0.0000 6.0209
K Ta Cd
2 1 1
Direct
0.2452 0.0000 0.2511
0.7548 0.0000 0.7489
0.5000 0.5000 0.0000
0.0000 0.5000 0.5000